1.
Entry from the Alexandria database: a relaxed BaIn4Ir2 crystal (GGA-PBE).

Calculated values
- Crystal system: orthorhombic
- V: 23.427 Å³ per atom
- Density: 9934 kg/m3
- DFT total energy: -4.60 eV/atom

Cell lengths 18.8007, 4.7141, 7.4013 Å; angles 90.00, 90.00, 90.00 degrees
Atoms (fractional coordinates):
Ba  0.1410  0.2500  0.0227
Ba  0.3590  0.7500  0.5227
Ba  0.6410  0.2500  0.4773
Ba  0.8590  0.7500  0.9773
In  0.0318  0.7500  0.8486
In  0.0693  0.2500  0.4955
In  0.1839  0.7500  0.3286
In  0.1958  0.7500  0.7320
In  0.3042  0.2500  0.2320
In  0.3161  0.2500  0.8286
In  0.4307  0.7500  0.9955
In  0.4682  0.2500  0.3486
In  0.5318  0.7500  0.6514
In  0.5693  0.2500  0.0045
In  0.6839  0.7500  0.1714
In  0.6958  0.7500  0.7680
In  0.8042  0.2500  0.2680
In  0.8161  0.2500  0.6714
In  0.9307  0.7500  0.5045
In  0.9682  0.2500  0.1514
Ir  0.0369  0.7500  0.2507
Ir  0.2149  0.2500  0.5335
Ir  0.2851  0.7500  0.0335
Ir  0.4631  0.2500  0.7507
Ir  0.5369  0.7500  0.2493
Ir  0.7149  0.2500  0.9665
Ir  0.7851  0.7500  0.4665
Ir  0.9631  0.2500  0.7493

***

2.
Entry from the Alexandria database: a relaxed Ba4InIr crystal (GGA-PBE).

Calculated values
- Distance to the lowest polymorph of the same formula: 0.00 kcal/mol of atoms
- Crystal system: monoclinic
- V: 40.820 Å³ per atom
- Density: 5806 kg/m3
- DFT total energy: -3.42 eV/atom

Cell lengths 9.0176, 9.0176, 6.9171 Å; angles 100.71, 100.71, 112.47 degrees
Atoms (fractional coordinates):
Ba  0.0525  0.7273  0.9482
Ba  0.2124  0.3608  0.6311
Ba  0.2727  0.9475  0.5518
Ba  0.3608  0.2124  0.1311
Ba  0.6392  0.7876  0.8689
Ba  0.7273  0.0525  0.4482
Ba  0.7876  0.6392  0.3689
Ba  0.9475  0.2727  0.0518
In  0.3701  0.6299  0.2500
In  0.6299  0.3701  0.7500
Ir  0.0002  0.9998  0.2500
Ir  0.9998  0.0002  0.7500

***

3.
Entry from the Alexandria database: a relaxed Ba4InIr crystal (GGA-PBE).

Calculated values
- Distance to the lowest polymorph of the same formula: 22.78 kcal/mol of atoms
- Crystal system: cubic
- V: 38.343 Å³ per atom
- Density: 6181 kg/m3
- DFT total energy: -2.43 eV/atom

Cell lengths 6.8778, 6.8778, 6.8778 Å; angles 60.00, 60.00, 60.00 degrees
Atoms (fractional coordinates):
Ba  0.3760  0.3760  0.3760
Ba  0.3760  0.3760  0.8721
Ba  0.3760  0.8721  0.3760
Ba  0.8721  0.3760  0.3760
In  0.0000  0.0000  0.0000
Ir  0.7500  0.7500  0.7500

***

4.
Entry from the Alexandria database: a relaxed Ba2In5Ir3 crystal (GGA-PBE).

Calculated values
- Crystal system: orthorhombic
- V: 24.552 Å³ per atom
- Density: 9640 kg/m3
- DFT total energy: -4.63 eV/atom

Cell lengths 14.0451, 14.0451, 7.5864 Å; angles 90.00, 90.00, 160.85 degrees
Atoms (fractional coordinates):
Ba  0.0260  0.9740  0.5000
Ba  0.3266  0.6734  0.5564
Ba  0.6734  0.3266  0.0564
Ba  0.9740  0.0260  0.0000
In  0.0961  0.9039  0.8817
In  0.2068  0.7932  0.3673
In  0.2146  0.7854  0.7645
In  0.3712  0.6288  0.0344
In  0.4468  0.5532  0.6685
In  0.5532  0.4468  0.1685
In  0.6288  0.3712  0.5344
In  0.7854  0.2146  0.2645
In  0.7932  0.2068  0.8673
In  0.9039  0.0961  0.3817
Ir  0.1101  0.8899  0.2489
Ir  0.2719  0.7281  0.0693
Ir  0.4486  0.5514  0.2891
Ir  0.5514  0.4486  0.7891
Ir  0.7281  0.2719  0.5693
Ir  0.8899  0.1101  0.7489

***

5.
Entry from the Alexandria database: a relaxed Ba2InIr crystal (GGA-PBE).

Calculated values
- Crystal system: tetragonal
- V: 44.234 Å³ per atom
- Density: 5459 kg/m3
- DFT total energy: -4.04 eV/atom

Cell lengths 11.6087, 11.6087, 5.2519 Å; angles 90.00, 90.00, 90.00 degrees
Atoms (fractional coordinates):
Ba  0.0763  0.7500  0.1250
Ba  0.2500  0.0763  0.8750
Ba  0.2500  0.4237  0.3750
Ba  0.4237  0.7500  0.6250
Ba  0.5763  0.2500  0.6250
Ba  0.7500  0.5763  0.3750
Ba  0.7500  0.9237  0.8750
Ba  0.9237  0.2500  0.1250
In  0.0000  0.0000  0.5000
In  0.0000  0.5000  0.7500
In  0.5000  0.0000  0.2500
In  0.5000  0.5000  0.0000
Ir  0.0000  0.0000  0.0000
Ir  0.0000  0.5000  0.2500
Ir  0.5000  0.0000  0.7500
Ir  0.5000  0.5000  0.5000

***

6.
Entry from the Alexandria database: a relaxed BaIn4Ir crystal (GGA-PBE).

Calculated values
- Crystal system: orthorhombic
- V: 26.152 Å³ per atom
- Density: 8348 kg/m3
- DFT total energy: -3.97 eV/atom

Cell lengths 8.7406, 4.4528, 8.0630 Å; angles 90.00, 90.00, 90.00 degrees
Atoms (fractional coordinates):
Ba  0.2500  0.0000  0.1074
Ba  0.7500  0.0000  0.8926
In  0.0000  0.0000  0.5000
In  0.0693  0.5000  0.7993
In  0.2500  0.5000  0.4447
In  0.4307  0.5000  0.7993
In  0.5000  0.0000  0.5000
In  0.5693  0.5000  0.2007
In  0.7500  0.5000  0.5553
In  0.9307  0.5000  0.2007
Ir  0.2500  0.0000  0.6835
Ir  0.7500  0.0000  0.3165

***

| no. | formation enthalpy at 0 K (eV/atom) | D(E_F) (states/eV/cell) |
| --- | --- | --- |
| 1 | -0.22 | 17.5 |
| 2 | -0.20 | 7.2 |
| 3 | 0.78 | 7.1 |
| 4 | -0.22 | 10.4 |
| 5 | -0.18 | 15.8 |
| 6 | -0.35 | 4.0 |